(1)
Entry from Alexandria: a geometry-optimized Rb3Sr5H12 structure (PBE).

The structure in POSCAR format:
```
Rb3Sr5H12
1.0
-7.781 7.781 7.781
7.781 -7.781 7.781
7.781 7.781 -7.781
Rb Sr H
12 20 48
Cartesian
3.890 1.945 0.000
7.781 3.890 -1.945
1.945 0.000 3.890
9.726 0.000 3.890
0.000 3.890 1.945
3.890 -1.945 7.781
3.890 9.726 0.000
7.781 3.890 5.836
-1.945 7.781 3.890
5.836 7.781 3.890
0.000 3.890 9.726
3.890 5.836 7.781
0.000 0.000 0.000
3.890 3.890 -3.890
3.890 -3.890 3.890
7.781 0.000 0.000
11.671 1.945 0.000
7.781 -3.890 5.836
5.836 7.781 -3.890
5.836 0.000 3.890
3.890 5.836 0.000
7.781 3.890 1.945
-3.890 3.890 3.890
0.000 7.781 0.000
0.000 0.000 7.781
3.890 3.890 3.890
0.000 3.890 5.836
3.890 1.945 7.781
1.945 7.781 3.890
1.945 0.000 11.671
0.000 11.671 1.945
-3.890 5.836 7.781
2.265 -0.472 0.800
9.406 4.690 -4.363
10.046 0.472 0.800
9.406 -3.091 4.363
7.309 -0.800 2.265
12.144 -1.625 3.091
0.800 2.265 -0.472
10.872 3.418 -1.625
4.690 4.363 -1.625
6.981 2.265 0.472
-0.472 0.800 2.265
4.363 -1.625 4.690
7.309 6.981 -2.265
4.363 1.625 3.091
4.690 -4.363 9.406
6.981 -2.265 7.309
3.091 4.363 1.625
8.581 5.516 0.472
4.363 9.406 -3.091
7.309 0.800 5.516
2.265 7.309 -0.800
9.406 3.091 3.418
1.625 3.091 4.363
2.265 0.472 6.981
5.516 7.309 0.800
6.156 4.690 3.418
-1.625 4.690 4.363
5.516 0.472 8.581
0.472 6.981 2.265
3.418 -1.625 10.872
-0.800 2.265 7.309
4.690 3.418 6.156
0.800 10.046 0.472
3.091 12.144 -1.625
3.418 6.156 4.690
0.472 0.800 10.046
3.418 9.406 3.091
8.253 6.981 5.516
0.800 5.516 7.309
3.091 3.418 9.406
-3.091 4.363 9.406
6.981 5.516 8.253
-4.363 9.406 4.690
0.472 8.581 5.516
-1.625 10.872 3.418
-2.265 7.309 6.981
-1.625 3.091 12.144
5.516 8.253 6.981
```

## Properties
As for the magnetic moment: 4.0 μB/cell. The total energy is -2.852 eV per atom. As for the space group: Ia-3d, No. 230.

(2)
Entry from Alexandria: a geometry-optimized La2PrSm8 structure (PBE).

The structure in POSCAR format:
```
La2PrSm8
1.0
9.318 -2.590 0.000
9.318 2.590 0.000
-2.158 0.000 7.900
La Pr Sm
2 1 8
Cartesian
3.944 0.000 1.080
12.535 0.000 6.821
8.239 0.000 3.950
0.336 0.000 1.790
1.064 0.000 5.361
4.656 0.000 4.685
7.544 0.000 0.353
8.935 0.000 7.547
11.822 0.000 3.216
15.414 0.000 2.539
16.142 0.000 6.110
```

## Properties
Its distance to the lowest polymorph of the same formula is 0.000 eV per atom. As for the magnetic moment: 0.0 μB/cell. The total energy is -4.743 eV per atom. As for the space group: C2/m, No. 12.

(3)
Entry from Alexandria: a geometry-optimized Pm12HgAu6 structure (PBE).

The structure in POSCAR format:
```
Pm12HgAu6
1.0
6.729 3.885 4.003
-6.729 3.885 4.003
0.000 -7.770 4.003
Pm Hg Au
12 1 6
Cartesian
-5.801 -1.350 6.681
-1.731 -5.699 5.328
-2.651 -0.375 4.703
-4.070 4.349 5.328
1.650 -2.109 4.703
-1.001 -2.484 7.306
1.001 2.484 4.703
-1.650 2.109 7.306
4.070 -4.349 6.681
2.651 0.375 7.306
1.731 5.699 6.681
5.801 1.350 5.328
0.000 0.000 0.000
-1.148 -3.031 4.246
-2.051 2.510 4.246
-3.199 -0.521 7.764
3.199 0.521 4.246
2.051 -2.510 7.764
1.148 3.031 7.764
```

## Properties
As for the magnetic moment: 0.0 μB/cell. The total energy is -4.419 eV per atom. As for the space group: R-3, No. 148.

(4)
Entry from Alexandria: a geometry-optimized SrAlSe structure (PBE).

The structure in POSCAR format:
```
SrAlSe
1.0
0.000 2.687 5.576
2.560 0.000 5.576
2.560 2.687 0.000
Sr Al Se
1 1 1
Cartesian
0.000 0.000 0.000
2.560 2.687 3.288
2.560 2.687 7.770
```

## Properties
Its distance to the lowest polymorph of the same formula is 0.081 eV per atom. As for the magnetic moment: 0.0 μB/cell. The total energy is -3.566 eV per atom. The value obtained for the formation energy without anion corrections is -0.596 eV per atom. As for the space group: Fmm2, No. 42.

(5)
Entry from Alexandria: a geometry-optimized Pm2Nd2Y6Tm structure (PBE).

The structure in POSCAR format:
```
Pm2Nd2Y6Tm
1.0
2.854 -6.065 0.000
2.854 6.065 0.000
0.000 0.000 10.609
Pm Nd Y Tm
2 2 6 1
Cartesian
2.854 3.524 0.000
2.854 -3.524 0.000
2.854 4.476 5.305
2.854 -4.476 5.305
0.000 0.000 2.127
0.000 0.000 8.482
2.854 1.836 3.138
2.854 1.836 7.471
2.854 -1.836 3.138
2.854 -1.836 7.471
2.854 0.000 0.000
```

## Properties
As for the magnetic moment: 0.0 μB/cell. The total energy is -5.529 eV per atom. As for the space group: Cmmm, No. 65.

(6)
Entry from Alexandria: a geometry-optimized Cs2PrTe2I2 structure (PBE).

The structure in POSCAR format:
```
Cs2PrTe2I2
1.0
-3.063 3.063 9.955
3.063 -3.063 9.955
3.063 3.063 -9.955
Cs Pr Te I
2 1 2 2
Cartesian
0.000 0.000 2.832
0.000 0.000 17.078
0.000 0.000 9.955
3.063 0.000 0.000
0.000 3.063 0.000
0.000 0.000 6.713
0.000 0.000 13.198
```

## Properties
As for the magnetic moment: 0.0 μB/cell. The total energy is -3.517 eV per atom. The value obtained for the formation energy without anion corrections is -1.250 eV per atom. As for the space group: I4/mmm, No. 139.